1.
CsV5Te8, relaxed, DFT PBE; raw total energy = -5.53 eV per atom; DOS(E_F) = 0.69 states/eV per atom
1.0
-3.6181 -0.5374 -1.5201
-1.1901 -7.9930 5.6586
-1.7244 7.8226 6.4999
Cs V Te
1 5 8
direct
0.4997 0.4997 0.9993
0.2939 0.6712 0.5878
0.7063 0.3295 0.4126
0.3474 0.9990 0.6948
0.6520 0.0008 0.3040
0.0007 0.9997 0.0014
0.2410 0.1515 0.4820
0.7586 0.8484 0.5172
0.1685 0.4914 0.3370
0.8316 0.5090 0.6632
0.0908 0.8294 0.1816
0.9094 0.1694 0.8188
0.4304 0.8262 0.8608
0.5697 0.1747 0.1395

---

2.
TaAlNiIr, relaxed, DFT PBE; raw total energy = -8.14 eV per atom; formation energy = -577.0 meV per atom; DOS(E_F) = 1.20 states/eV per atom; E above lowest polymorph = 5 meV per atom
1.0
4.3550 0.0000 0.0000
2.1775 3.7716 0.0000
2.1775 1.2572 3.5559
Ni Ir Al Ta
1 1 1 1
direct
0.2500 0.2500 0.2500
0.7500 0.7500 0.7500
0.0000 0.0000 0.0000
0.5000 0.5000 0.5000

---

3.
Pm4BeIr3, relaxed, DFT PBE; raw total energy = -6.72 eV per atom; formation energy = -558.4 meV per atom; DOS(E_F) = 0.54 states/eV per atom
1.0
-0.1345 -1.7922 -3.6799
2.3198 -3.0743 1.4125
-9.0847 -5.4772 2.9995
Be Ir Pm
1 3 4
direct
0.5000 0.5000 0.0479
0.0000 0.5000 0.5852
0.0000 0.0000 0.4140
0.5000 0.0000 0.9498
0.5000 0.5000 0.3632
0.0000 0.5000 0.8540
0.0000 0.0000 0.1434
0.5000 0.0000 0.6425

---

4.
Sm3SnBi2, relaxed, DFT PBE; raw total energy = -5.02 eV per atom; formation energy = -699.3 meV per atom; DOS(E_F) = 0.69 states/eV per atom
1.0
-7.2826 -0.1015 3.2562
1.5441 -6.8010 3.2414
1.5876 6.5216 3.7540
Sm Sn Bi
6 2 4
direct
0.4697 0.1637 0.8363
0.9697 0.1637 0.8363
0.4696 0.5000 0.5000
0.9696 0.5000 0.5000
0.9697 0.8363 0.1637
0.4697 0.8363 0.1637
0.7196 0.8309 0.8309
0.2196 0.1691 0.1691
0.7196 0.1671 0.5029
0.2196 0.4971 0.8329
0.2196 0.8329 0.4971
0.7196 0.5029 0.1671

---

5.
FeCu2Ni12, relaxed, DFT PBE; raw total energy = -5.49 eV per atom; formation energy = 248.6 meV per atom; DOS(E_F) = 1.41 states/eV per atom
1.0
-2.9546 -0.9313 3.3915
2.9207 -3.1176 1.6879
7.1860 11.8891 9.5250
Fe Cu Ni
2 4 24
direct
0.5000 0.0000 0.0000
0.0000 0.5000 0.0000
0.5000 0.0000 0.8483
0.0000 0.5000 0.8482
0.0000 0.5000 0.1517
0.5000 0.0000 0.1518
0.5000 0.5000 0.0714
0.0000 0.0000 0.0714
0.6770 0.8230 0.6895
0.1770 0.6770 0.6895
0.0000 0.0000 0.7897
0.3230 0.8230 0.3105
0.3253 0.8253 0.5632
0.5000 0.5000 0.7897
0.3230 0.1770 0.6895
0.8230 0.6770 0.3105
0.8253 0.6747 0.5631
0.1747 0.6747 0.4368
0.0000 0.0000 0.2103
0.6747 0.8253 0.4369
0.1770 0.3230 0.3105
0.3253 0.1747 0.4369
0.1747 0.3253 0.5631
0.0000 0.0000 0.9286
0.6747 0.1747 0.5632
0.5000 0.5000 0.2103
0.8230 0.3230 0.6895
0.5000 0.5000 0.9286
0.8253 0.3253 0.4368
0.6770 0.1770 0.3105

---

6.
Ag3SbPd6, relaxed, DFT PBE; raw total energy = -4.39 eV per atom; DOS(E_F) = 0.38 states/eV per atom; E above lowest polymorph = 177 meV per atom
1.0
-1.4726 5.5443 -3.8788
-6.2680 -2.6699 -1.4366
-2.8422 3.5163 5.8658
Ag Sb Pd
6 2 12
direct
0.5795 0.8156 0.7566
0.5000 0.5000 0.0000
0.4205 0.1844 0.2434
0.0795 0.6844 0.2566
0.0000 0.0000 0.5000
0.9205 0.3156 0.7434
0.5000 0.5000 0.5000
0.0000 0.0000 0.0000
0.6504 0.1333 0.9478
0.6278 0.1487 0.5524
0.7815 0.3808 0.2556
0.2185 0.6192 0.7444
0.3722 0.8513 0.4476
0.3496 0.8667 0.0522
0.1504 0.3667 0.4478
0.1278 0.3513 0.0524
0.2815 0.1192 0.7556
0.7185 0.8808 0.2444
0.8722 0.6487 0.9476
0.8496 0.6333 0.5522

---

7.
HoSn4Hg, relaxed, DFT PBE; raw total energy = -3.59 eV per atom; formation energy = -106.6 meV per atom; DOS(E_F) = 0.46 states/eV per atom
1.0
-2.6173 -3.0236 -4.6850
-3.9969 -4.5509 1.1207
-5.9868 0.7903 -1.2147
Hg Sn Ho
1 4 1
direct
0.2500 0.2500 0.2500
0.6251 0.6251 0.1247
0.6251 0.1247 0.6251
0.6251 0.6251 0.6251
0.1247 0.6251 0.6251
0.0000 0.0000 0.0000

---

8.
LaMgP2Rh5, relaxed, DFT PBE; raw total energy = -6.67 eV per atom; formation energy = -663.2 meV per atom; DOS(E_F) = 0.40 states/eV per atom
1.0
-3.3753 2.0777 -1.1914
-1.5373 -0.3007 3.8309
4.2465 8.2469 2.3513
La Mg P Rh
1 1 2 5
direct
0.0000 0.0000 0.5000
0.0000 0.0000 0.0000
0.5000 0.5000 0.2625
0.5000 0.5000 0.7375
0.0000 0.5000 0.1677
0.5000 0.0000 0.1677
0.0000 0.5000 0.8323
0.5000 0.0000 0.8323
0.5000 0.5000 0.5000

---

9.
Tl2CdBr6, relaxed, DFT PBE; raw total energy = -2.36 eV per atom; DOS(E_F) = 0.30 states/eV per atom
1.0
10.4245 1.0013 0.9694
4.4076 9.8414 -0.1731
4.4076 0.1459 9.8418
Tl Cd Br
4 2 12
direct
0.2135 0.5983 0.7234
0.2865 0.2766 0.4017
0.7865 0.4017 0.2766
0.7135 0.7234 0.5983
0.2500 0.1484 0.8516
0.7500 0.8516 0.1484
0.4978 0.6351 0.6085
0.0022 0.3915 0.3649
0.5022 0.3649 0.3915
0.9978 0.6085 0.6351
0.7807 0.8928 0.3651
0.7193 0.6349 0.1072
0.2193 0.1072 0.6349
0.2807 0.3651 0.8928
0.0199 0.8448 0.9246
0.4801 0.0754 0.1552
0.9801 0.1552 0.0754
0.5199 0.9246 0.8448

---

10.
RbGaRu2C, relaxed, DFT PBE; raw total energy = -5.39 eV per atom; formation energy = 968.3 meV per atom; DOS(E_F) = 0.85 states/eV per atom
1.0
-2.5721 0.1733 -3.2003
-3.9744 -1.8583 3.0937
-1.0079 3.8515 1.0186
Ru C Ga Rb
2 1 1 1
direct
0.0000 0.0000 0.5000
0.5000 0.0000 0.0000
0.0000 0.0000 0.0000
0.5000 0.5000 0.5000
0.0000 0.5000 0.0000

---

11.
Ce3Te2S, relaxed, DFT PBE; raw total energy = -6.23 eV per atom; DOS(E_F) = 3.32 states/eV per atom; E above lowest polymorph = 6 meV per atom
1.0
-6.7754 -2.9196 0.8553
4.1926 -5.9490 1.9310
-0.5316 5.8342 4.7304
Ce Te S
6 4 2
direct
0.0104 0.2166 0.3630
0.5104 0.3630 0.2166
0.0000 0.5000 0.0000
0.9896 0.7834 0.6370
0.5000 0.0000 0.5000
0.4896 0.6370 0.7834
0.2500 0.9205 0.0795
0.2500 0.2363 0.7637
0.7500 0.0795 0.9205
0.7500 0.7637 0.2363
0.2500 0.5917 0.4083
0.7500 0.4083 0.5917

---

12.
NaTlSn, relaxed, DFT PBE; raw total energy = -2.63 eV per atom; formation energy = -66.9 meV per atom; DOS(E_F) = 0.36 states/eV per atom
1.0
7.9264 0.0000 0.0000
0.0000 4.9737 0.0000
0.0000 0.0000 9.1348
Na Tl Sn
4 4 4
direct
0.9889 0.2500 0.8095
0.5111 0.7500 0.3095
0.0111 0.7500 0.1905
0.4889 0.2500 0.6905
0.8333 0.2500 0.4132
0.6667 0.7500 0.9132
0.1667 0.7500 0.5868
0.3333 0.2500 0.0868
0.2243 0.2500 0.4045
0.2757 0.7500 0.9045
0.7757 0.7500 0.5955
0.7243 0.2500 0.0955

---

13.
HCl3F, relaxed, DFT PBE; raw total energy = -2.50 eV per atom; DOS(E_F) = 0.00 states/eV per atom; E above lowest polymorph = 0 meV per atom
1.0
4.6249 0.5060 0.6330
0.7863 8.5892 -0.9489
1.4629 0.9992 6.8202
H Cl F
2 6 2
direct
0.7003 0.8002 0.5915
0.7837 0.1036 0.1910
0.4356 0.3990 0.7524
0.0498 0.5059 0.0301
0.4942 0.1574 0.2907
0.1873 0.8999 0.7850
0.2970 0.0042 0.9971
0.9899 0.7465 0.4919
0.8116 0.3041 0.6603
0.6740 0.6011 0.1211

---

14.
ReAg2Os, relaxed, DFT PBE; raw total energy = -6.13 eV per atom; formation energy = 1217.6 meV per atom; DOS(E_F) = 1.03 states/eV per atom; E above lowest polymorph = 938 meV per atom
1.0
0.0000 3.1604 3.1604
3.1604 0.0000 3.1604
3.1604 3.1604 0.0000
Re Os Ag
1 1 2
direct
0.0000 0.0000 0.0000
0.5000 0.5000 0.5000
0.2500 0.2500 0.2500
0.7500 0.7500 0.7500

---

15.
Li3ThIr2, relaxed, DFT PBE; raw total energy = -5.54 eV per atom; formation energy = -396.2 meV per atom; DOS(E_F) = 0.34 states/eV per atom
1.0
-1.4312 -3.2491 -1.7852
4.1276 3.2535 -4.8076
3.4560 -5.1232 6.5536
Li Th Ir
6 2 4
direct
0.2590 0.5179 0.4181
0.9344 0.8688 0.5853
0.5823 0.1646 0.6775
0.4177 0.8354 0.3225
0.0656 0.1312 0.4147
0.7410 0.4821 0.5819
0.8743 0.7486 0.0085
0.1257 0.2514 0.9915
0.4365 0.8730 0.7984
0.5635 0.1270 0.2016
0.7771 0.5542 0.2355
0.2229 0.4458 0.7645

---

16.
Ac2NdUO8, relaxed, DFT PBE; raw total energy = -8.50 eV per atom; DOS(E_F) = 0.63 states/eV per atom
1.0
4.0672 -0.0403 -0.0023
0.0517 5.7608 -0.0064
0.0044 0.0087 7.8505
Ac Nd U O
2 1 1 8
direct
0.5000 0.5000 0.7539
0.5000 0.5000 0.2461
0.0000 0.0000 0.5000
0.0000 0.0000 0.0000
0.0005 0.7742 0.2163
0.5009 0.7898 0.0000
0.9995 0.2258 0.2163
0.9995 0.2258 0.7837
0.4991 0.2102 0.0000
0.0005 0.7742 0.7837
0.5000 0.7575 0.5000
0.5000 0.2425 0.5000

---

17.
BaGa3Pt3, relaxed, DFT PBE; raw total energy = -4.79 eV per atom; formation energy = -633.3 meV per atom; DOS(E_F) = 0.44 states/eV per atom; E above lowest polymorph = 17 meV per atom
1.0
6.9730 0.0000 0.0000
0.0000 6.9730 0.0000
0.0000 0.0000 6.9730
Ga Ba Pt
6 2 6
direct
0.2500 0.0000 0.5000
0.0000 0.5000 0.2500
0.5000 0.7500 0.0000
0.7500 0.0000 0.5000
0.0000 0.5000 0.7500
0.5000 0.2500 0.0000
0.5000 0.5000 0.5000
0.0000 0.0000 0.0000
0.0000 0.2500 0.5000
0.0000 0.7500 0.5000
0.5000 0.0000 0.7500
0.7500 0.5000 0.0000
0.5000 0.0000 0.2500
0.2500 0.5000 0.0000

---

18.
ZrPbI2O, relaxed, DFT PBE; raw total energy = -5.03 eV per atom; DOS(E_F) = 0.86 states/eV per atom; E above lowest polymorph = 0 meV per atom
1.0
-1.6887 -3.8590 4.2784
5.7518 -1.3896 1.0169
0.2259 2.9429 2.7436
Pb I O Zr
1 2 1 1
direct
0.5000 0.5000 0.5000
0.0000 0.5000 0.0000
0.5000 0.0000 0.0000
0.0000 0.0000 0.5000
0.0000 0.0000 0.0000

---

19.
ScNi2Au2, relaxed, DFT PBE; raw total energy = -5.21 eV per atom; formation energy = -315.9 meV per atom; DOS(E_F) = 0.60 states/eV per atom; E above lowest polymorph = 0 meV per atom
1.0
6.5997 0.0000 0.0000
0.0000 6.5997 0.0000
0.0000 0.0000 3.6332
Sc Ni Au
2 4 4
direct
0.0000 0.0000 0.0000
0.5000 0.5000 0.0000
0.3720 0.8720 0.0000
0.8720 0.6280 0.0000
0.6280 0.1280 0.0000
0.1280 0.3720 0.0000
0.1682 0.6682 0.5000
0.6682 0.8318 0.5000
0.8318 0.3318 0.5000
0.3318 0.1682 0.5000